1.
Ba2GeRuN: relaxed, GGA-PBE.

The structure in CIF format:
```
data_Ba2GeRuN
_chemical_formula_sum 'Ba2 Ge1 Ru1 N1'
_space_group_name_H-M_alt 'P 4/m m m'
_space_group_IT_number 123
_space_group_name_Hall '-P 4 2'
_cell_length_a 5.862
_cell_length_b 5.862
_cell_length_c 3.804
_cell_angle_alpha 90.00
_cell_angle_beta 90.00
_cell_angle_gamma 90.00
loop_
_atom_site_label
_atom_site_type_symbol
_atom_site_fract_x
_atom_site_fract_y
_atom_site_fract_z
Ba1 Ba 0.000 0.500 0.000
Ge1 Ge 0.000 0.000 0.500
Ru1 Ru 0.500 0.500 0.500
N1 N 0.500 0.500 0.000
```


2.
# YInPt2Au (GGA-PBE, relaxed)
# ΔE_f in eV per atom: 0.490
data_YInPt2Au
_chemical_formula_sum 'Y1 In1 Pt2 Au1'
_space_group_name_H-M_alt 'P 4/m m m'
_space_group_IT_number 123
_space_group_name_Hall '-P 4 2'
_cell_length_a 5.197
_cell_length_b 5.197
_cell_length_c 5.477
_cell_angle_alpha 90.00
_cell_angle_beta 90.00
_cell_angle_gamma 90.00
loop_
_atom_site_label
_atom_site_type_symbol
_atom_site_fract_x
_atom_site_fract_y
_atom_site_fract_z
Y1 Y 0.000 0.000 0.000
In1 In 0.500 0.500 0.500
Pt1 Pt 0.000 0.500 0.000
Au1 Au 0.000 0.000 0.500


3.
# SrYH3 (GGA-PBE, relaxed)
# Polymorph energy (0 for the lowest one) in meV per atom: 0.0
data_SrYH3
_chemical_formula_sum 'Sr1 Y1 H3'
_space_group_name_H-M_alt 'P m -3 m'
_space_group_IT_number 221
_space_group_name_Hall '-P 4 2 3'
_cell_length_a 4.320
_cell_length_b 4.320
_cell_length_c 4.320
_cell_angle_alpha 90.00
_cell_angle_beta 90.00
_cell_angle_gamma 90.00
loop_
_atom_site_label
_atom_site_type_symbol
_atom_site_fract_x
_atom_site_fract_y
_atom_site_fract_z
Sr1 Sr 0.000 0.000 0.000
Y1 Y 0.500 0.500 0.500
H1 H 0.000 0.500 0.500


4.
BeCoTe2: relaxed, GGA-PBE.

The structure in CIF format:
```
data_BeCoTe2
_chemical_formula_sum 'Be2 Co2 Te4'
_space_group_name_H-M_alt 'I -4 m 2'
_space_group_IT_number 119
_space_group_name_Hall 'I -4 -2'
_cell_length_a 3.634
_cell_length_b 3.634
_cell_length_c 13.252
_cell_angle_alpha 90.00
_cell_angle_beta 90.00
_cell_angle_gamma 90.00
loop_
_atom_site_label
_atom_site_type_symbol
_atom_site_fract_x
_atom_site_fract_y
_atom_site_fract_z
Be1 Be 0.000 0.000 0.000
Co1 Co 0.000 0.500 0.750
Te1 Te 0.000 0.000 0.500
Te2 Te 0.000 0.500 0.250
```


5.
# RbTlGaAg2 (GGA-PBE, relaxed)
# ΔE_f in eV per atom: 0.103
data_RbTlGaAg2
_chemical_formula_sum 'Rb1 Tl1 Ga1 Ag2'
_space_group_name_H-M_alt 'P 4/m m m'
_space_group_IT_number 123
_space_group_name_Hall '-P 4 2'
_cell_length_a 5.201
_cell_length_b 5.201
_cell_length_c 5.529
_cell_angle_alpha 90.00
_cell_angle_beta 90.00
_cell_angle_gamma 90.00
loop_
_atom_site_label
_atom_site_type_symbol
_atom_site_fract_x
_atom_site_fract_y
_atom_site_fract_z
Rb1 Rb 0.000 0.000 0.000
Tl1 Tl 0.500 0.500 0.000
Ga1 Ga 0.500 0.500 0.500
Ag1 Ag 0.000 0.500 0.500


6.
# PmLuTcAg (GGA-PBE, relaxed)
# ΔE_f in eV per atom: -0.083
data_PmLuTcAg
_chemical_formula_sum 'Pm4 Lu4 Tc4 Ag4'
_space_group_name_H-M_alt 'F -4 3 m'
_space_group_IT_number 216
_space_group_name_Hall 'F -4 2 3'
_cell_length_a 7.051
_cell_length_b 7.051
_cell_length_c 7.051
_cell_angle_alpha 90.00
_cell_angle_beta 90.00
_cell_angle_gamma 90.00
loop_
_atom_site_label
_atom_site_type_symbol
_atom_site_fract_x
_atom_site_fract_y
_atom_site_fract_z
Pm1 Pm 0.000 0.000 0.000
Lu1 Lu 0.000 0.000 0.500
Tc1 Tc 0.250 0.250 0.250
Ag1 Ag 0.250 0.250 0.750


7.
# BeSb2Te (GGA-PBE, relaxed)
# Polymorph energy (0 for the lowest one) in meV per atom: 123.9
data_BeSb2Te
_chemical_formula_sum 'Be3 Sb6 Te3'
_space_group_name_H-M_alt 'R -3 m'
_space_group_IT_number 166
_space_group_name_Hall '-R 3 2"'
_cell_length_a 3.9560
_cell_length_b 3.9560
_cell_length_c 21.3116
_cell_angle_alpha 90.00
_cell_angle_beta 90.00
_cell_angle_gamma 120.00
loop_
_atom_site_label
_atom_site_type_symbol
_atom_site_fract_x
_atom_site_fract_y
_atom_site_fract_z
Be1 Be 0.0000 0.0000 0.0000
Sb1 Sb 0.0000 0.0000 0.2713
Te1 Te 0.0000 0.0000 0.5000


8.
# HgBi2As2 (GGA-PBE, relaxed)
# ΔE_f in eV per atom: 0.148
# Polymorph energy (0 for the lowest one) in meV per atom: 22.1
data_HgBi2As2
_chemical_formula_sum 'Hg2 Bi4 As4'
_space_group_name_H-M_alt 'I 4/m m m'
_space_group_IT_number 139
_space_group_name_Hall '-I 4 2'
_cell_length_a 5.112
_cell_length_b 5.112
_cell_length_c 12.477
_cell_angle_alpha 90.00
_cell_angle_beta 90.00
_cell_angle_gamma 90.00
loop_
_atom_site_label
_atom_site_type_symbol
_atom_site_fract_x
_atom_site_fract_y
_atom_site_fract_z
Hg1 Hg 0.000 0.000 0.000
Bi1 Bi 0.000 0.000 0.360
As1 As 0.000 0.500 0.250


9.
# Ba3As3Pt2 (GGA-PBE, relaxed)
# ΔE_f in eV per atom: -0.963
# Polymorph energy (0 for the lowest one) in meV per atom: 0.0
data_Ba3As3Pt2
_chemical_formula_sum 'Ba12 As12 Pt8'
_space_group_name_H-M_alt 'C m c m'
_space_group_IT_number 63
_space_group_name_Hall '-C 2c 2'
_cell_length_a 4.451
_cell_length_b 12.062
_cell_length_c 16.757
_cell_angle_alpha 90.00
_cell_angle_beta 90.00
_cell_angle_gamma 90.00
loop_
_atom_site_label
_atom_site_type_symbol
_atom_site_fract_x
_atom_site_fract_y
_atom_site_fract_z
Ba1 Ba 0.000 0.045 0.250
Ba2 Ba 0.000 0.348 0.092
As1 As 0.000 0.080 0.053
As2 As 0.000 0.248 0.750
Pt1 Pt 0.000 0.368 0.622


10.
# PRhSN2 (GGA-PBE, relaxed)
# Polymorph energy (0 for the lowest one) in meV per atom: 0.0
data_PRhSN2
_chemical_formula_sum 'P1 Rh1 S1 N2'
_space_group_name_H-M_alt 'P 4/m m m'
_space_group_IT_number 123
_space_group_name_Hall '-P 4 2'
_cell_length_a 3.283
_cell_length_b 3.283
_cell_length_c 7.822
_cell_angle_alpha 90.00
_cell_angle_beta 90.00
_cell_angle_gamma 90.00
loop_
_atom_site_label
_atom_site_type_symbol
_atom_site_fract_x
_atom_site_fract_y
_atom_site_fract_z
P1 P 0.000 0.000 0.000
Rh1 Rh 0.500 0.500 0.500
S1 S 0.000 0.000 0.500
N1 N 0.000 0.500 0.000


11.
Zr2ZnN: relaxed, GGA-PBE.

The structure in CIF format:
```
data_Zr2ZnN
_chemical_formula_sum 'Zr6 Zn3 N3'
_space_group_name_H-M_alt 'R -3 m'
_space_group_IT_number 166
_space_group_name_Hall '-R 3 2"'
_cell_length_a 3.2948
_cell_length_b 3.2948
_cell_length_c 20.9747
_cell_angle_alpha 90.00
_cell_angle_beta 90.00
_cell_angle_gamma 120.00
loop_
_atom_site_label
_atom_site_type_symbol
_atom_site_fract_x
_atom_site_fract_y
_atom_site_fract_z
Zr1 Zr 0.0000 0.0000 0.2265
Zn1 Zn 0.0000 0.0000 0.0000
N1 N 0.0000 0.0000 0.5000
```


12.
SrMo2N4: relaxed, GGA-PBE.

The structure in CIF format:
```
data_SrMo2N4
_chemical_formula_sum 'Sr2 Mo4 N8'
_space_group_name_H-M_alt 'I 4/m m m'
_space_group_IT_number 139
_space_group_name_Hall '-I 4 2'
_cell_length_a 4.564
_cell_length_b 4.564
_cell_length_c 11.338
_cell_angle_alpha 90.00
_cell_angle_beta 90.00
_cell_angle_gamma 90.00
loop_
_atom_site_label
_atom_site_type_symbol
_atom_site_fract_x
_atom_site_fract_y
_atom_site_fract_z
Sr1 Sr 0.000 0.000 0.000
Mo1 Mo 0.000 0.000 0.386
N1 N 0.000 0.000 0.238
N2 N 0.000 0.500 0.000
```


no.,uncorrected energy (eV per cell)
1,-27.35
2,-22.11
3,-20.06
4,-29.74
5,-11.55
6,-91.28
7,-42.78
8,-33.25
9,-158.01
10,-29.64
11,-91.52
12,-100.13